No. 1
VASP calculation (PBE) on crystalline PmY2Er3 at its relaxed geometry.

Unit cell a=9.427 b=13.191 c=6.315 alpha=90.00 beta=90.00 gamma=90.00
Space group Cmc2_1 (No. 36)
Asymmetric unit:
Pm1 0.000 0.176 0.000 (multiplicity 4)
Y1 0.182 0.304 0.672 (multiplicity 8)
Er1 0.000 0.079 0.472 (multiplicity 4)
Er2 0.183 0.441 0.220 (multiplicity 8)

Calculated values
E_form in eV per atom: 0.2327



No. 2
VASP calculation (PBE) on crystalline CuAgBr at its relaxed geometry.

Unit cell a=3.267 b=3.267 c=10.959 alpha=90.00 beta=90.00 gamma=90.00
Space group I4mm (No. 107)
Asymmetric unit:
Cu1 0.000 0.000 0.000 (multiplicity 2)
Ag1 0.000 0.000 0.641 (multiplicity 2)
Br1 0.000 0.000 0.355 (multiplicity 2)

Calculated values
Formation energy (no corrections) in meV/atom: 239.8



no.,offset from the most stable computed form (meV per atom)
1,226
2,104